No. 1
The following is a PBE-GGA calculation of KAg2Se after structural relaxation, from Alexandria via LeMat-Bulk.

The structure in POSCAR format:
```
KAg2Se
1.0
-3.522 -0.744 3.701
-3.414 -3.265 2.084
3.363 -3.668 5.944
K Se Ag
1 1 2
Cartesian
-1.488 -3.778 5.790 K
-2.170 -5.439 8.335 Se
-1.461 -1.864 2.809 Ag
-0.241 -0.434 0.660 Ag
```

Computed properties:
* formation energy (no corrections): -0.0894 eV per atom
* size of the total moment: 0.0 μB per cell
* DOS at the Fermi energy: 0.203 states/eV per atom

---

No. 2
The following is a PBE-GGA calculation of P2BrN after structural relaxation, from Alexandria via LeMat-Bulk.

The structure in POSCAR format:
```
P2BrN
1.0
-0.947 4.567 0.343
-3.692 -0.554 -2.817
-5.944 0.882 3.734
Br P N
2 4 2
Cartesian
-4.605 3.728 1.420 Br
0.000 0.000 0.000 Br
-7.003 2.046 1.258 P
-2.333 2.010 0.721 P
-4.118 1.441 -0.710 P
-7.712 4.294 1.250 P
-2.319 2.007 -1.237 N
-5.978 1.168 -0.160 N
```

Computed properties:
* formation energy (no corrections): 0.7726 eV per atom
* size of the total moment: 0.0 μB per cell
* excess energy over the best structure of this formula in the dataset: 0.000 eV/atom
* DOS at the Fermi energy: 0.327 states/eV per atom